Record 1
Computed, not measured: KHgPb2Se4 after structural relaxation at the PBE-GGA level of DFT.

Its total magnetization is 0.000 μB/f.u. As for the crystal system: orthorhombic. For the uncorrected energy, the calculation gives -3.34 eV per atom. Its mass density is 6.51 g/cm3.

The space group is Cmcm (No. 63) and the conventional cell measures 4.3659, 14.4875 and 15.6360 Å, with angles of 90.00, 90.00 and 90.00 degrees. The asymmetric unit holds K at (0.0000, 0.1216, 0.2500), Hg at (0.0000, 0.1567, 0.7500), Pb at (0.0000, 0.3699, 0.0560), Se at (0.0000, 0.0000, 0.0000), Se at (0.0000, 0.2665, 0.6104) and Se at (0.0000, 0.4482, 0.2500).

---

Record 2
Computed, not measured: K2Sn4Hg3Pb after structural relaxation at the PBE-GGA level of DFT.

Its total magnetization is 0.000 μB/f.u. As for the crystal system: tetragonal. For the uncorrected energy, the calculation gives -2.42 eV per atom. The formation energy comes out at -0.137 eV per atom. Its mass density is 7.14 g/cm3.

The space group is P-4m2 (No. 115) and the conventional cell measures 5.0224, 5.0224 and 12.5524 Å, with angles of 90.00, 90.00 and 90.00 degrees. The asymmetric unit holds K at (0.0000, 0.5000, 0.2444), Sn at (0.0000, 0.0000, 0.0000), Sn at (0.0000, 0.5000, 0.6385), Sn at (0.5000, 0.5000, 0.0000), Hg at (0.0000, 0.5000, 0.8654), Hg at (0.5000, 0.5000, 0.5000) and Pb at (0.0000, 0.0000, 0.5000).

---

Record 3
Computed, not measured: KSn2HgPb after structural relaxation at the PBE-GGA level of DFT.

Its total magnetization is 0.000 μB/f.u. As for the crystal system: orthorhombic. For the uncorrected energy, the calculation gives -2.76 eV per atom. The formation energy comes out at -0.134 eV per atom. Its mass density is 6.93 g/cm3.

The space group is Imm2 (No. 44) and the conventional cell measures 4.6755, 5.4909 and 12.7766 Å, with angles of 90.00, 90.00 and 90.00 degrees. The asymmetric unit holds K at (0.0000, 0.0000, 0.0000), Sn at (0.0000, 0.0000, 0.6209), Sn at (0.0000, 0.5000, 0.2703), Hg at (0.0000, 0.0000, 0.3957) and Pb at (0.0000, 0.5000, 0.7411).

---

Record 4
Computed, not measured: KSn2Hg2Pb after structural relaxation at the PBE-GGA level of DFT.

Its total magnetization is 0.000 μB/f.u. As for the crystal system: trigonal. For the uncorrected energy, the calculation gives -2.30 eV per atom. The formation energy comes out at -0.064 eV per atom. Its mass density is 7.59 g/cm3.

The space group is P-3m1 (No. 164) and the conventional cell measures 4.9357, 4.9357 and 9.1782 Å, with angles of 90.00, 90.00 and 120.00 degrees. The asymmetric unit holds K at (0.0000, 0.0000, 0.0000), Sn at (0.3333, 0.6667, 0.2860), Hg at (0.3333, 0.6667, 0.7444) and Pb at (0.0000, 0.0000, 0.5000).

---

Record 5
Computed, not measured: KSrHgPb after structural relaxation at the PBE-GGA level of DFT.

Its total magnetization is 0.000 μB/f.u. As for the crystal system: cubic. For the uncorrected energy, the calculation gives -2.00 eV per atom. The formation energy comes out at -0.300 eV per atom. Its mass density is 6.38 g/cm3.

The space group is F-43m (No. 216) and the conventional cell measures 8.2234, 8.2234 and 8.2234 Å, with angles of 90.00, 90.00 and 90.00 degrees. The asymmetric unit holds K at (0.0000, 0.0000, 0.0000), Sr at (0.0000, 0.0000, 0.5000), Hg at (0.2500, 0.2500, 0.2500) and Pb at (0.2500, 0.2500, 0.7500).

---

Record 6
Computed, not measured: KTbHgPb after structural relaxation at the PBE-GGA level of DFT.

Its total magnetization is 0.000 μB/f.u. As for the crystal system: cubic. For the uncorrected energy, the calculation gives -2.66 eV per atom. The formation energy comes out at -0.228 eV per atom. Its mass density is 8.28 g/cm3.

The space group is F-43m (No. 216) and the conventional cell measures 7.8625, 7.8625 and 7.8625 Å, with angles of 90.00, 90.00 and 90.00 degrees. The asymmetric unit holds K at (0.0000, 0.0000, 0.0000), Tb at (0.0000, 0.0000, 0.5000), Hg at (0.2500, 0.2500, 0.2500) and Pb at (0.2500, 0.2500, 0.7500).

---

Record 7
Computed, not measured: K2TcHgPb after structural relaxation at the PBE-GGA level of DFT.

Its total magnetization is 3.002 μB/f.u. As for the crystal system: tetragonal. For the uncorrected energy, the calculation gives -2.31 eV per atom. The formation energy comes out at 1.002 eV per atom. Its mass density is 4.76 g/cm3.

The space group is P4/mmm (No. 123) and the conventional cell measures 6.2037, 6.2037 and 5.2982 Å, with angles of 90.00, 90.00 and 90.00 degrees. The asymmetric unit holds K at (0.0000, 0.5000, 0.0000), Tc at (0.0000, 0.0000, 0.0000), Hg at (0.0000, 0.0000, 0.5000) and Pb at (0.5000, 0.5000, 0.5000).

---

Record 8
Computed, not measured: KHg2TePb after structural relaxation at the PBE-GGA level of DFT.

Its total magnetization is 0.000 μB/f.u. As for the crystal system: tetragonal. For the uncorrected energy, the calculation gives -1.89 eV per atom. Its mass density is 5.98 g/cm3.

The space group is P4/mmm (No. 123) and the conventional cell measures 5.8543, 5.8543 and 6.2847 Å, with angles of 90.00, 90.00 and 90.00 degrees. The asymmetric unit holds K at (0.0000, 0.0000, 0.0000), Hg at (0.0000, 0.5000, 0.5000), Te at (0.5000, 0.5000, 0.0000) and Pb at (0.5000, 0.5000, 0.5000).

---

Record 9
Computed, not measured: KHgTe2Pb after structural relaxation at the PBE-GGA level of DFT.

Its total magnetization is 0.000 μB/f.u. As for the crystal system: monoclinic. For the uncorrected energy, the calculation gives -2.65 eV per atom. Its mass density is 6.54 g/cm3.

The space group is P2/c (No. 13) and the conventional cell measures 8.6832, 6.6058 and 6.7200 Å, with angles of 90.00, 112.37 and 90.00 degrees. The asymmetric unit holds K at (0.0000, 0.2366, 0.2500), Hg at (0.5000, 0.0000, 0.0000), Te at (0.1947, 0.2613, 0.8465) and Pb at (0.5000, 0.4975, 0.2500).

---

Record 10
Computed, not measured: KTiHgPb2 after structural relaxation at the PBE-GGA level of DFT.

Its total magnetization is 0.370 μB/f.u. As for the crystal system: tetragonal. For the uncorrected energy, the calculation gives -3.32 eV per atom. The formation energy comes out at 0.026 eV per atom. Its mass density is 7.03 g/cm3.

The space group is P4/mmm (No. 123) and the conventional cell measures 5.4287, 5.4287 and 5.6246 Å, with angles of 90.00, 90.00 and 90.00 degrees. The asymmetric unit holds K at (0.0000, 0.0000, 0.0000), Ti at (0.5000, 0.5000, 0.5000), Hg at (0.5000, 0.5000, 0.0000) and Pb at (0.0000, 0.5000, 0.5000).

---

Record 11
Computed, not measured: KTl2HgPb after structural relaxation at the PBE-GGA level of DFT.

Its total magnetization is 0.000 μB/f.u. As for the crystal system: orthorhombic. For the uncorrected energy, the calculation gives -2.07 eV per atom. The formation energy comes out at -0.104 eV per atom. Its mass density is 8.16 g/cm3.

The space group is Imm2 (No. 44) and the conventional cell measures 5.1781, 5.2511 and 12.8130 Å, with angles of 90.00, 90.00 and 90.00 degrees. The asymmetric unit holds K at (0.0000, 0.0000, 0.0000), Tl at (0.0000, 0.0000, 0.3842), Tl at (0.0000, 0.5000, 0.2437), Hg at (0.0000, 0.0000, 0.6119) and Pb at (0.0000, 0.5000, 0.7430).

---

Record 12
Computed, not measured: K2Tl3Hg4Pb after structural relaxation at the PBE-GGA level of DFT.

Its total magnetization is 0.000 μB/f.u. As for the crystal system: tetragonal. For the uncorrected energy, the calculation gives -1.53 eV per atom. The formation energy comes out at -0.112 eV per atom. Its mass density is 8.37 g/cm3.

The space group is P-4m2 (No. 115) and the conventional cell measures 5.0815, 5.0815 and 13.0692 Å, with angles of 90.00, 90.00 and 90.00 degrees. The asymmetric unit holds K at (0.0000, 0.5000, 0.2456), Tl at (0.0000, 0.5000, 0.8699), Tl at (0.5000, 0.5000, 0.5000), Hg at (0.0000, 0.0000, 0.0000), Hg at (0.0000, 0.5000, 0.6416), Hg at (0.5000, 0.5000, 0.0000) and Pb at (0.0000, 0.0000, 0.5000).